[1]
Mg5Pd6Rh: relaxed, GGA-PBE.

Output
The total energy is -4.48 eV per atom. The symmetry is No. 71. The energy of formation is -58.6 kJ/mol of atoms.

Cell: 7.533 7.533 7.533 Å, 147.33 123.68 66.65°
Positions (direct):
Mg 0.000 0.000 0.000
Mg 0.174 0.674 0.500
Mg 0.352 0.352 0.000
Mg 0.648 0.648 0.000
Mg 0.826 0.326 0.500
Pd 0.072 0.832 0.240
Pd 0.230 0.500 0.730
Pd 0.407 0.168 0.240
Pd 0.593 0.832 0.760
Pd 0.770 0.500 0.270
Pd 0.928 0.168 0.760
Rh 0.500 0.000 0.500

=====

[2]
Mg4Pd2Rh: relaxed, GGA-PBE.

Output
The total energy is -3.99 eV per atom. The symmetry is No. 65. The energy of formation is -52.9 kJ/mol of atoms.

Cell: 5.444 5.444 4.478 Å, 90.00 90.00 109.90°
Positions (direct):
Mg 0.000 0.500 0.500
Mg 0.242 0.242 0.000
Mg 0.500 0.000 0.500
Mg 0.758 0.758 0.000
Pd 0.260 0.740 0.000
Pd 0.740 0.260 0.000
Rh 0.500 0.500 0.500

=====

[3]
Mg3PdRh2: relaxed, GGA-PBE.

Output
The total energy is -4.69 eV per atom. The calculation puts the relative energy among the computed polymorphs at 0.05 eV per formula unit. The symmetry is No. 123. The energy of formation is -56.0 kJ/mol of atoms.

Cell: 3.142 3.142 9.386 Å, 90.00 90.00 90.00°
Positions (direct):
Mg 0.000 0.000 0.000
Mg 0.000 0.000 0.326
Mg 0.000 0.000 0.674
Pd 0.500 0.500 0.500
Rh 0.500 0.500 0.165
Rh 0.500 0.500 0.835

=====

[4]
Mg2PdRh: relaxed, GGA-PBE.

Output
The total energy is -4.04 eV per atom. The symmetry is No. 166. The energy of formation is -10.6 kJ/mol of atoms.

Cell: 9.395 9.395 9.395 Å, 17.80 17.80 17.80°
Positions (direct):
Mg 0.090 0.090 0.090
Mg 0.910 0.910 0.910
Pd 0.500 0.500 0.500
Rh 0.000 0.000 0.000

=====

no.,DOS at the Fermi energy (states/eV/cell)
1,5.952
2,2.066
3,3.906
4,3.267